Record 1
The following is a GGA-PBE calculation of a relaxed CdHgCl crystal, from the Alexandria database.

abc: 4.985 4.985 4.985
angles: 60.00 60.00 60.00
Fractional coordinates of all 3 atoms:
Cl 0.000 0.000 0.000
Cd 0.250 0.250 0.250
Hg 0.500 0.500 0.500

Summary:
DOS at the Fermi energy   2.1 states/eV/cell
Calculated density   6.60 g/cm³
Final energy   -1.264 eV per atom
Excess energy over the best structure of this formula in the dataset   50 kJ/mol of formula units
V   88 Å³/f.u.


Record 2
The following is a GGA-PBE calculation of a relaxed CdHgCl2 crystal, from the Alexandria database.

abc: 3.922 3.922 10.533
angles: 90.00 90.00 122.33
Fractional coordinates of all 4 atoms:
Cd 0.500 0.500 0.750
Hg 0.500 0.500 0.250
Cl 0.000 0.000 0.587
Cl 0.000 0.000 0.913

Summary:
Calculated density   4.66 g/cm³
Final energy   -1.881 eV per atom
Excess energy over the best structure of this formula in the dataset   54 kJ/mol of formula units
V   137 Å³/f.u.


Record 3
The following is a GGA-PBE calculation of a relaxed CdHgCl4 crystal, from the Alexandria database.

abc: 6.029 6.029 6.029
angles: 60.00 60.00 60.00
Fractional coordinates of all 6 atoms:
Cl 0.876 0.375 0.375
Cd 0.000 0.000 0.000
Hg 0.750 0.750 0.750
Cl 0.375 0.876 0.375
Cl 0.375 0.375 0.375
Cl 0.375 0.375 0.876

Summary:
DOS at the Fermi energy   5.7 states/eV/cell
Calculated density   4.87 g/cm³
Final energy   -1.092 eV per atom
Excess energy over the best structure of this formula in the dataset   674 kJ/mol of formula units
V   155 Å³/f.u.


Record 4
The following is a GGA-PBE calculation of a relaxed Cd2HgCl crystal, from the Alexandria database.

abc: 3.689 5.834 4.755
angles: 90.00 90.00 90.00
Fractional coordinates of all 4 atoms:
Cd 0.500 0.500 0.000
Cd 0.000 0.000 0.000
Cl 0.500 0.000 0.500
Hg 0.000 0.500 0.500

Summary:
DOS at the Fermi energy   1.8 states/eV/cell
Calculated density   7.48 g/cm³
Final energy   -1.164 eV per atom
Excess energy over the best structure of this formula in the dataset   45 kJ/mol of formula units
V   102 Å³/f.u.


Record 5
The following is a GGA-PBE calculation of a relaxed Cd2HgCl crystal, from the Alexandria database.

abc: 4.044 5.329 5.376
angles: 73.24 90.00 90.00
Fractional coordinates of all 4 atoms:
Cd 0.000 0.496 0.496
Cl 0.500 0.250 0.250
Cd 0.000 0.004 0.004
Hg 0.500 0.750 0.750

Summary:
DOS at the Fermi energy   1.2 states/eV/cell
Calculated density   6.90 g/cm³
Final energy   -1.234 eV per atom
Excess energy over the best structure of this formula in the dataset   17 kJ/mol of formula units
V   111 Å³/f.u.


Record 6
The following is a GGA-PBE calculation of a relaxed Cd5HgCl12 crystal, from the Alexandria database.

abc: 6.772 6.782 12.762
angles: 89.95 89.91 60.05
Fractional coordinates of all 18 atoms:
Cl 0.167 0.000 0.613
Cd 0.833 0.333 0.500
Cl 0.000 0.338 0.886
Cd 0.333 0.333 0.000
Cl 0.662 0.000 0.886
Cl 0.338 0.000 0.114
Cd 0.667 0.667 0.000
Cl 0.833 0.666 0.613
Cl 0.499 0.334 0.613
Cl 0.167 0.334 0.387
Cd 0.167 0.667 0.500
Cl 0.833 0.000 0.387
Hg 0.000 0.000 0.000
Cl 0.662 0.338 0.114
Cl 0.501 0.666 0.387
Cd 0.500 0.000 0.500
Cl 0.000 0.662 0.114
Cl 0.338 0.662 0.886

Summary:
DOS at the Fermi energy   0.0 states/eV/cell
Calculated density   3.89 g/cm³
Final energy   -2.501 eV per atom
V   508 Å³/f.u.


Record 7
The following is a GGA-PBE calculation of a relaxed Cd2HgCl crystal, from the Alexandria database.

abc: 4.101 5.392 5.415
angles: 68.37 90.00 90.00
Fractional coordinates of all 4 atoms:
Cd 0.000 0.019 0.011
Cl 0.000 0.469 0.469
Hg 0.500 0.762 0.766
Cd 0.500 0.250 0.253

Summary:
DOS at the Fermi energy   1.6 states/eV/cell
Calculated density   6.88 g/cm³
Final energy   -1.248 eV per atom
Excess energy over the best structure of this formula in the dataset   12 kJ/mol of formula units
V   111 Å³/f.u.


Record 8
The following is a GGA-PBE calculation of a relaxed CdHg2Cl crystal, from the Alexandria database.

abc: 3.675 3.784 8.344
angles: 89.64 90.00 90.00
Fractional coordinates of all 4 atoms:
Hg 0.500 0.129 0.306
Cl 0.500 0.620 0.709
Cd 0.000 0.627 0.483
Hg 0.000 0.123 0.003

Summary:
DOS at the Fermi energy   0.8 states/eV/cell
Calculated density   7.86 g/cm³
Final energy   -1.124 eV per atom
Excess energy over the best structure of this formula in the dataset   7 kJ/mol of formula units
V   116 Å³/f.u.